P.
Material: KSnH3
Method: DFT, PBE-GGA
State: optimized geometry

a b c (Å): 4.409 4.409 4.409
angles (deg): 90.00 90.00 90.00
Fractional coordinates of all 5 atoms:
K 0.000 0.000 0.000
Sn 0.500 0.500 0.500
H 0.000 0.000 0.500
H 0.000 0.500 0.000
H 0.500 0.000 0.000

Q.
Material: KSnH3
Method: DFT, PBE-GGA
State: optimized geometry

a b c (Å): 4.851 5.592 7.176
angles (deg): 90.00 107.09 90.00
Fractional coordinates of all 10 atoms:
K 0.157 0.250 0.285
K 0.843 0.750 0.715
Sn 0.399 0.250 0.840
Sn 0.601 0.750 0.160
H 0.234 0.750 0.178
H 0.297 0.019 0.651
H 0.297 0.481 0.651
H 0.703 0.519 0.349
H 0.703 0.981 0.349
H 0.766 0.250 0.822

R.
Material: KSnH3
Method: DFT, PBE-GGA
State: optimized geometry

a b c (Å): 4.334 4.334 4.334
angles (deg): 90.00 90.00 90.00
Fractional coordinates of all 5 atoms:
K 0.000 0.000 0.000
Sn 0.500 0.500 0.500
H 0.000 0.500 0.500
H 0.500 0.000 0.500
H 0.500 0.500 0.000

Most stable: Q. Least stable: P.

P.
Material: K3SnH
Method: DFT, PBE-GGA
State: optimized geometry

a b c (Å): 7.716 7.716 7.902
angles (deg): 119.28 119.28 60.00
Fractional coordinates of all 10 atoms:
K 0.091 0.091 0.253
K 0.091 0.570 0.253
K 0.430 0.909 0.747
K 0.570 0.091 0.253
K 0.909 0.430 0.747
K 0.909 0.909 0.747
Sn 0.428 0.428 0.783
Sn 0.572 0.572 0.217
H 0.164 0.164 0.992
H 0.836 0.836 0.008

Q.
Material: K3SnH
Method: DFT, PBE-GGA
State: optimized geometry

a b c (Å): 5.520 5.520 5.520
angles (deg): 90.00 90.00 90.00
Fractional coordinates of all 5 atoms:
K 0.000 0.000 0.500
K 0.000 0.500 0.000
K 0.500 0.000 0.000
Sn 0.500 0.500 0.500
H 0.000 0.000 0.000

Most stable: P. Least stable: Q.

P.
Material: K2SrH4
Method: DFT, PBE-GGA
State: optimized geometry

a b c (Å): 6.768 6.768 6.861
angles (deg): 115.48 115.48 33.14
Fractional coordinates of all 7 atoms:
K 0.183 0.183 0.170
K 0.817 0.817 0.830
Sr 0.500 0.500 0.500
H 0.127 0.127 0.507
H 0.389 0.389 0.111
H 0.611 0.611 0.889
H 0.873 0.873 0.493

Q.
Material: K2SrH4
Method: DFT, PBE-GGA
State: optimized geometry

a b c (Å): 7.906 7.906 7.906
angles (deg): 145.59 145.59 49.45
Fractional coordinates of all 7 atoms:
K 0.151 0.151 0.000
K 0.849 0.849 0.000
Sr 0.500 0.500 0.000
H 0.000 0.500 0.500
H 0.330 0.330 0.000
H 0.500 0.000 0.500
H 0.670 0.670 0.000

Most stable: Q. Least stable: P.

P.
Material: KSr2H
Method: DFT, PBE-GGA
State: optimized geometry

a b c (Å): 11.529 11.529 11.529
angles (deg): 20.57 20.57 20.57
Fractional coordinates of all 4 atoms:
K 0.000 0.000 0.000
Sr 0.121 0.121 0.121
Sr 0.879 0.879 0.879
H 0.500 0.500 0.500

Q.
Material: KSr2H
Method: DFT, PBE-GGA
State: optimized geometry

a b c (Å): 10.955 10.955 10.955
angles (deg): 21.88 21.88 21.88
Fractional coordinates of all 4 atoms:
K 0.000 0.000 0.000
Sr 0.548 0.548 0.548
Sr 0.785 0.785 0.785
H 0.166 0.166 0.166

Most stable: Q. Least stable: P.

P.
Material: KTa2H
Method: DFT, PBE-GGA
State: optimized geometry

a b c (Å): 6.099 6.099 6.099
angles (deg): 60.00 60.00 60.00
Fractional coordinates of all 8 atoms:
K 0.125 0.125 0.125
K 0.875 0.875 0.875
Ta 0.000 0.500 0.500
Ta 0.500 0.000 0.500
Ta 0.500 0.500 0.000
Ta 0.500 0.500 0.500
H 0.375 0.375 0.375
H 0.625 0.625 0.625

Q.
Material: KTa2H
Method: DFT, PBE-GGA
State: optimized geometry

a b c (Å): 4.662 4.662 4.662
angles (deg): 60.00 60.00 60.00
Fractional coordinates of all 4 atoms:
K 0.000 0.000 0.000
Ta 0.250 0.250 0.250
Ta 0.750 0.750 0.750
H 0.500 0.500 0.500

Most stable: P. Least stable: Q.

P.
Material: KTc3H
Method: DFT, PBE-GGA
State: optimized geometry

a b c (Å): 4.158 4.158 4.158
angles (deg): 90.00 90.00 90.00
Fractional coordinates of all 5 atoms:
K 0.000 0.000 0.000
Tc 0.000 0.500 0.500
Tc 0.500 0.000 0.500
Tc 0.500 0.500 0.000
H 0.500 0.500 0.500

Q.
Material: KTc3H
Method: DFT, PBE-GGA
State: optimized geometry

a b c (Å): 4.529 4.529 4.529
angles (deg): 90.00 90.00 90.00
Fractional coordinates of all 5 atoms:
K 0.000 0.000 0.000
Tc 0.000 0.000 0.500
Tc 0.000 0.500 0.000
Tc 0.500 0.000 0.000
H 0.500 0.500 0.500

Most stable: P. Least stable: Q.

P.
Material: KTc2H
Method: DFT, PBE-GGA
State: optimized geometry

a b c (Å): 5.776 5.776 5.776
angles (deg): 119.84 119.84 90.27
Fractional coordinates of all 8 atoms:
K 0.375 0.625 0.750
K 0.625 0.375 0.250
Tc 0.000 0.000 0.000
Tc 0.000 0.000 0.500
Tc 0.000 0.500 0.000
Tc 0.500 0.000 0.500
H 0.125 0.875 0.250
H 0.875 0.125 0.750

Q.
Material: KTc2H
Method: DFT, PBE-GGA
State: optimized geometry

a b c (Å): 4.649 4.649 4.649
angles (deg): 60.00 60.00 60.00
Fractional coordinates of all 4 atoms:
K 0.000 0.000 0.000
Tc 0.250 0.250 0.250
Tc 0.750 0.750 0.750
H 0.500 0.500 0.500

Most stable: P. Least stable: Q.

P.
Material: KTeH3
Method: DFT, PBE-GGA
State: optimized geometry

a b c (Å): 4.290 4.290 4.290
angles (deg): 90.00 90.00 90.00
Fractional coordinates of all 5 atoms:
K 0.000 0.000 0.000
Te 0.500 0.500 0.500
H 0.000 0.000 0.500
H 0.000 0.500 0.000
H 0.500 0.000 0.000

Q.
Material: KTeH3
Method: DFT, PBE-GGA
State: optimized geometry

a b c (Å): 4.395 4.395 4.395
angles (deg): 90.00 90.00 90.00
Fractional coordinates of all 5 atoms:
K 0.000 0.000 0.000
Te 0.500 0.500 0.500
H 0.000 0.500 0.500
H 0.500 0.000 0.500
H 0.500 0.500 0.000

Most stable: Q. Least stable: P.

P.
Material: K3TeH2
Method: DFT, PBE-GGA
State: optimized geometry

a b c (Å): 12.957 12.957 5.283
angles (deg): 90.28 90.28 23.39
Fractional coordinates of all 12 atoms:
K 0.069 0.069 0.252
K 0.201 0.201 0.753
K 0.428 0.428 0.247
K 0.572 0.572 0.753
K 0.799 0.799 0.247
K 0.931 0.931 0.748
Te 0.339 0.339 0.745
Te 0.661 0.661 0.255
H 0.041 0.041 0.751
H 0.331 0.331 0.243
H 0.669 0.669 0.757
H 0.959 0.959 0.249

Q.
Material: K3TeH2
Method: DFT, PBE-GGA
State: optimized geometry

a b c (Å): 9.401 9.401 4.577
angles (deg): 90.00 90.00 110.94
Fractional coordinates of all 12 atoms:
K 0.099 0.901 0.750
K 0.163 0.435 0.750
K 0.435 0.163 0.250
K 0.565 0.837 0.750
K 0.837 0.565 0.250
K 0.901 0.099 0.250
Te 0.266 0.734 0.250
Te 0.734 0.266 0.750
H 0.183 0.183 0.000
H 0.183 0.183 0.500
H 0.817 0.817 0.000
H 0.817 0.817 0.500

Most stable: P. Least stable: Q.

P.
Material: KTe3H
Method: DFT, PBE-GGA
State: optimized geometry

a b c (Å): 5.013 5.013 5.013
angles (deg): 90.00 90.00 90.00
Fractional coordinates of all 5 atoms:
K 0.000 0.000 0.000
Te 0.000 0.500 0.500
Te 0.500 0.000 0.500
Te 0.500 0.500 0.000
H 0.500 0.500 0.500

Q.
Material: KTe3H
Method: DFT, PBE-GGA
State: optimized geometry

a b c (Å): 6.195 6.195 6.195
angles (deg): 90.00 90.00 90.00
Fractional coordinates of all 5 atoms:
K 0.000 0.000 0.000
Te 0.000 0.000 0.500
Te 0.000 0.500 0.000
Te 0.500 0.000 0.000
H 0.500 0.500 0.500

Most stable: P. Least stable: Q.

P.
Material: KTeH2
Method: DFT, PBE-GGA
State: optimized geometry

a b c (Å): 6.608 6.608 5.763
angles (deg): 90.00 90.00 131.93
Fractional coordinates of all 8 atoms:
K 0.133 0.867 0.750
K 0.867 0.133 0.250
Te 0.455 0.545 0.750
Te 0.545 0.455 0.250
H 0.268 0.732 0.184
H 0.268 0.732 0.316
H 0.732 0.268 0.684
H 0.732 0.268 0.816

Q.
Material: KTeH2
Method: DFT, PBE-GGA
State: optimized geometry

a b c (Å): 8.098 8.098 8.098
angles (deg): 145.13 145.13 50.13
Fractional coordinates of all 8 atoms:
K 0.000 0.000 0.000
K 0.750 0.250 0.500
Te 0.250 0.750 0.500
Te 0.500 0.500 0.000
H 0.374 0.625 0.249
H 0.375 0.624 0.749
H 0.376 0.125 0.751
H 0.875 0.626 0.251

R.
Material: KTeH2
Method: DFT, PBE-GGA
State: optimized geometry

a b c (Å): 4.606 4.606 4.606
angles (deg): 60.00 60.00 60.00
Fractional coordinates of all 4 atoms:
K 0.000 0.000 0.000
Te 0.500 0.500 0.500
H 0.250 0.250 0.250
H 0.750 0.750 0.750

Most stable: P. Least stable: R.

P.
Material: K2TeH
Method: DFT, PBE-GGA
State: optimized geometry

a b c (Å): 5.369 5.369 9.013
angles (deg): 90.00 90.12 90.00
Fractional coordinates of all 8 atoms:
K 0.248 0.250 0.156
K 0.250 0.750 0.500
K 0.750 0.250 0.500
K 0.752 0.750 0.844
Te 0.252 0.250 0.759
Te 0.748 0.750 0.241
H 0.250 0.250 0.501
H 0.750 0.750 0.499

Q.
Material: K2TeH
Method: DFT, PBE-GGA
State: optimized geometry

a b c (Å): 7.401 7.401 7.401
angles (deg): 97.33 97.33 138.14
Fractional coordinates of all 8 atoms:
K 0.375 0.013 0.138
K 0.763 0.625 0.638
K 0.875 0.237 0.862
K 0.987 0.125 0.362
Te 0.250 0.750 0.500
Te 0.500 0.500 0.000
H 0.000 0.000 0.000
H 0.750 0.250 0.500

Most stable: P. Least stable: Q.